[1]
Here is an optimized crystal structure of Tb6ErTm4 from the Alexandria database. Energies are from PBE.

Values from the calculation:
As for the crystal system: tetragonal. The electronic total energy comes out at -4.2566 eV per atom. The calculation puts the distance to the lowest polymorph of the same formula at 184 meV/atom.

a b c (Å): 6.5043 6.5043 16.9429
angles (deg): 90.00 90.00 90.00
With the nearest neighbours (Å) after each atom.
Space group I-42m (No. 121)
Unique sites:
Tb (0.0000, 0.5000, 0.0000) x4  2 Er 3.25, 4 Tm 3.26
Tb (0.1872, 0.1872, 0.1743) x8  5 Tm 3.31-3.49, 1 Er 3.42, 1 Tb 3.44
Er (0.0000, 0.0000, 0.0000) x2  8 Tb 3.25-3.42
Tm (0.1796, 0.1796, 0.3694) x8  7 Tb 3.26-3.49, 1 Tm 3.30

[2]
Here is an optimized crystal structure of Tb7ErTm4 from the Alexandria database. Energies are from PBE.

Values from the calculation:
As for the crystal system: triclinic. The electronic total energy comes out at -4.5735 eV per atom.

a b c (Å): 6.1595 7.1127 8.7553
angles (deg): 90.01 103.71 90.09
With the nearest neighbours (Å) after each atom.
Space group P-1 (No. 2)
Unique sites:
Tb (0.0000, 0.0000, 0.0000) x1  4 Tm 3.50-3.51, 6 Tb 3.51-3.56, 2 Er 3.56
Tb (0.2214, 0.4998, 0.6656) x2  6 Tb 3.48-3.56, 5 Tm 3.50-3.56, 1 Er 3.51
Tb (0.2794, 0.7508, 0.3348) x2  6 Tm 3.48-3.57, 5 Tb 3.49-3.56, 1 Er 3.51
Tb (0.4994, 0.2484, 0.0006) x2  3 Tm 3.50-3.51, 7 Tb 3.51-3.58, 2 Er 3.56
Er (0.0000, 0.5000, 0.0000) x1  2 Tm 3.51, 10 Tb 3.51-3.56
Tm (0.2206, 0.9998, 0.6652) x2  4 Tm 3.47-3.56, 8 Tb 3.48-3.56
Tm (0.2783, 0.2492, 0.3339) x2  8 Tb 3.48-3.57, 3 Tm 3.49-3.56, 1 Er 3.51

[3]
Here is an optimized crystal structure of TbEr4Tm6 from the Alexandria database. Energies are from PBE.

Values from the calculation:
As for the crystal system: orthorhombic. The electronic total energy comes out at -4.3909 eV per atom. The calculation puts the distance to the lowest polymorph of the same formula at 0 meV/atom.

a b c (Å): 5.5423 9.5687 25.3117
angles (deg): 90.00 90.00 90.00
With the nearest neighbours (Å) after each atom.
Space group Cmcm (No. 63)
Unique sites:
Tb (0.0000, 0.1697, 0.2500) x4  3 Tm 3.19-3.20
Er (0.0000, 0.1657, 0.5416) x8  8 Tm 3.36-3.66, 1 Er 3.76
Er (0.0000, 0.4968, 0.6215) x8  5 Tm 3.07-3.25
Tm (0.0000, 0.1636, 0.6814) x8  7 Tm 3.47-3.77, 4 Er 3.53-3.54, 3 Tb 3.63-3.64
Tm (0.0000, 0.1694, 0.1029) x8  6 Er 3.23-3.56
Tm (0.0000, 0.4968, 0.7500) x4  3 Tb 3.19-3.20, 2 Er 3.25
Tm (0.0000, 0.5000, 0.0000) x4  8 Er 3.07-3.37

[4]
Here is an optimized crystal structure of Tb5Er6Tm2 from the Alexandria database. Energies are from PBE.

Values from the calculation:
As for the crystal system: orthorhombic. The electronic total energy comes out at -4.4758 eV per atom.

a b c (Å): 11.4872 20.0915 3.5331
angles (deg): 90.00 90.00 90.00
With the nearest neighbours (Å) after each atom.
Space group Pbam (No. 55)
Unique sites:
Tb (0.0000, 0.0000, 0.0000) x2  6 Er 3.31-3.41, 4 Tb 3.53-3.61
Tb (0.0863, 0.2723, 0.0000) x4  5 Er 3.30-3.44, 4 Tm 3.45-3.55, 2 Tb 3.53
Tb (0.1987, 0.5504, 0.0000) x4  6 Er 3.48-3.56, 3 Tb 3.53-3.61, 2 Tm 3.66
Er (0.0594, 0.4185, 0.5000) x4  6 Tb 3.44-3.56, 5 Er 3.53-3.72, 1 Tm 3.67
Er (0.0820, 0.1311, 0.5000) x4  1 Tm 3.26, 6 Tb 3.31-3.48, 4 Er 3.43-3.53
Er (0.1734, 0.8622, 0.0000) x4  2 Tb 3.30-3.41, 4 Er 3.43-3.53, 2 Tm 3.55
Tm (0.1692, 0.7091, 0.5000) x4  3 Er 3.26-3.55, 4 Tb 3.45-3.55, 2 Tm 3.53

ΔE_f (meV/atom)
310, -2, 128, 99
Calculated volume (Å³/atom)
32.581, 31.054, 30.508, 31.362